This record from the Alexandria database describes an optimized crystal structure of Pr4CoI5. The functional is PBE.

abc: 10.198 10.198 9.199
angles: 102.74 102.74 23.66
Fractional coordinates of all 10 atoms:
1 Pr 0.001 0.001 0.299
2 Pr 0.356 0.356 0.424
3 Pr 0.644 0.644 0.576
4 Pr 0.999 0.999 0.701
5 Co 0.500 0.500 0.500
6 I 0.167 0.167 0.849
7 I 0.174 0.174 0.324
8 I 0.500 0.500 0.000
9 I 0.826 0.826 0.676
10 I 0.833 0.833 0.151

Raw formation energy = -10.57 eV/f.u.